K4CeBr7 GGA-PBE optimized geometry; uncorrected energy = -3.529 eV/atom; mass density = 2.59 Mg/m³; space-group type = C2/m; ΔE_f (raw) = -163 kJ/mol of atoms
1.0
5.4574 0.0000 -1.7823
-1.7629 7.7958 -5.3979
0.9961 0.3637 12.2961
K Ce Br
4 1 7
Cartesian
2.1292 4.8339 6.5195
2.5614 3.3256 -1.4035
0.5660 6.8194 1.7331
4.1245 1.3400 3.3828
0.0000 0.0000 0.0000
0.5476 2.3084 1.6768
4.1429 5.8511 3.4391
5.7942 2.3214 8.4954
-1.1037 5.8381 -3.3795
2.8349 6.2890 -0.5660
2.7287 0.0000 -0.8912
1.8557 1.8704 5.6819